(1)
Below is an optimized crystal structure of ZrTi2HOs, with properties calculated at the PBE level.

Results
For the size of the total moment, the calculation gives 0.00 μB per formula unit. The energy is -40.063 eV for the cell shown.

Cell lengths 3.8988, 3.8988, 4.6834 Å; angles 90.00, 90.00, 90.00 degrees
With the nearest neighbours (Å) after each atom.
Space group P4/mmm (No. 123)
Asymmetric unit:
Zr1 0.0000 0.0000 0.0000  2 H 2.34
Ti1 0.0000 0.5000 0.5000  2 H 1.95
H1 0.0000 0.0000 0.5000  4 Ti 1.95
Os1 0.5000 0.5000 0.0000  4 Zr 2.76, 8 Ti 3.05

(2)
Below is an optimized crystal structure of Tl3HOs, with properties calculated at the PBE level.

Results
For the size of the total moment, the calculation gives 0.54 μB per formula unit. The calculation puts the excess energy over the best structure of this formula in the dataset at 0.000 eV per atom.

Cell lengths 5.2876, 5.2876, 5.2876 Å; angles 90.00, 90.00, 90.00 degrees
With the nearest neighbours (Å) after each atom.
Space group Pm-3m (No. 221)
Asymmetric unit:
Tl1 0.0000 0.0000 0.5000  2 Os 2.64
H1 0.5000 0.5000 0.5000  12 Tl 3.74
Os1 0.0000 0.0000 0.0000  6 Tl 2.64

(3)
Below is an optimized crystal structure of TlH2Os, with properties calculated at the PBE level.

Results
For the size of the total moment, the calculation gives 0.45 μB per formula unit. The calculation puts the excess energy over the best structure of this formula in the dataset at 0.000 eV per atom.

Cell lengths 5.8736, 5.8736, 5.5469 Å; angles 90.00, 90.00, 90.00 degrees
With the nearest neighbours (Å) after each atom.
Space group I-42d (No. 122)
Asymmetric unit:
Tl1 0.0000 0.0000 0.0000  8 H 2.65-2.75, 2 Os 2.77
H1 0.1230 0.2500 0.6250  2 Os 1.78
Os1 0.0000 0.0000 0.5000  4 H 1.78

(4)
Below is an optimized crystal structure of TlHOs3, with properties calculated at the PBE level.

Results
For the size of the total moment, the calculation gives 1.24 μB per formula unit. The calculation puts the excess energy over the best structure of this formula in the dataset at 0.000 eV per atom.

Cell lengths 4.0600, 4.0600, 4.0600 Å; angles 90.00, 90.00, 90.00 degrees
With the nearest neighbours (Å) after each atom.
Space group Pm-3m (No. 221)
Asymmetric unit:
Tl1 0.0000 0.0000 0.0000  12 Os 2.87
H1 0.5000 0.5000 0.5000  6 Os 2.03
Os1 0.0000 0.5000 0.5000  2 H 2.03

(5)
Below is an optimized crystal structure of TlHOs2, with properties calculated at the PBE level.

Results
For the size of the total moment, the calculation gives 0.00 μB per formula unit. The calculation puts the excess energy over the best structure of this formula in the dataset at 0.000 eV per atom.

Cell lengths 5.5457, 5.5457, 7.5463 Å; angles 90.00, 90.00, 90.00 degrees
With the nearest neighbours (Å) after each atom.
Space group I-42d (No. 122)
Asymmetric unit:
Tl1 0.0000 0.0000 0.0000  4 Os 2.84
H1 0.0000 0.0000 0.5000  4 Os 1.74
Os1 0.0861 0.2500 0.6250  2 H 1.74

(6)
Below is an optimized crystal structure of Tl3HOs, with properties calculated at the PBE level.

Results
For the size of the total moment, the calculation gives 0.00 μB per formula unit. The calculation puts the excess energy over the best structure of this formula in the dataset at 0.304 eV per atom.

Cell lengths 4.5836, 4.5836, 4.5836 Å; angles 90.00, 90.00, 90.00 degrees
With the nearest neighbours (Å) after each atom.
Space group Pm-3m (No. 221)
Asymmetric unit:
Tl1 0.0000 0.0000 0.5000  2 H 2.29
H1 0.0000 0.0000 0.0000  6 Tl 2.29
Os1 0.5000 0.5000 0.5000  12 Tl 3.24

(7)
Below is an optimized crystal structure of TlH3Os, with properties calculated at the PBE level.

Results
For the size of the total moment, the calculation gives 3.72 μB per formula unit. The calculation puts the excess energy over the best structure of this formula in the dataset at 1.284 eV per atom.

Cell lengths 3.9478, 3.9478, 3.9478 Å; angles 90.00, 90.00, 90.00 degrees
With the nearest neighbours (Å) after each atom.
Space group Pm-3m (No. 221)
Asymmetric unit:
Tl1 0.0000 0.0000 0.0000  6 H 1.97
H1 0.0000 0.0000 0.5000  2 Tl 1.97
Os1 0.5000 0.5000 0.5000  12 H 2.79

(8)
Below is an optimized crystal structure of TlH2Os, with properties calculated at the PBE level.

Results
For the size of the total moment, the calculation gives 0.00 μB per formula unit. The calculation puts the excess energy over the best structure of this formula in the dataset at 0.843 eV per atom.

Cell lengths 5.6347, 5.6347, 5.6347 Å; angles 90.00, 90.00, 90.00 degrees
With the nearest neighbours (Å) after each atom.
Space group Fm-3m (No. 225)
Asymmetric unit:
Tl1 0.0000 0.0000 0.0000  8 H 2.44
H1 0.2500 0.2500 0.2500  4 Tl 2.44, 4 Os 2.44
Os1 0.0000 0.0000 0.5000  8 H 2.44